No. 1
Computed, not measured: FeAg2Hg at its PBEsol-relaxed geometry at the SCAN level of DFT.

Results
Magnetization   2.9 μB/f.u.
Formation enthalpy at 0 K   215 meV per atom
Energy   -37.042 eV/atom
D(E_F)   0.48 states/eV per atom

abc: 2.862 2.862 7.935
angles: 90.00 90.00 90.00
Sites, in units of the cell vectors:
1 Fe 0.000 0.000 0.000
2 Ag 0.000 0.000 0.481
3 Ag 0.500 0.500 0.225
4 Hg 0.500 0.500 0.758

***

No. 2
Computed, not measured: FeAg4Hg at its PBEsol-relaxed geometry at the SCAN level of DFT.

Results
Magnetization   3.3 μB/f.u.
Formation enthalpy at 0 K   400 meV per atom
Energy   -34.894 eV/atom
D(E_F)   0.59 states/eV per atom

abc: 5.323 5.323 5.323
angles: 60.00 60.00 60.00
Sites, in units of the cell vectors:
1 Fe 0.000 0.000 0.000
2 Ag 0.124 0.625 0.625
3 Ag 0.625 0.124 0.625
4 Ag 0.625 0.625 0.124
5 Ag 0.625 0.625 0.625
6 Hg 0.250 0.250 0.250

***

No. 3
Computed, not measured: FeAgHg2 at its PBEsol-relaxed geometry at the SCAN level of DFT.

Results
Magnetization   2.9 μB/f.u.
Formation enthalpy at 0 K   300 meV per atom
E above lowest polymorph   28 meV per atom
Energy   -46.157 eV/atom
D(E_F)   0.48 states/eV per atom

abc: 4.719 4.719 5.415
angles: 99.42 99.42 36.47
Sites, in units of the cell vectors:
1 Fe 0.000 0.000 0.000
2 Ag 0.500 0.500 0.500
3 Hg 0.255 0.255 0.761
4 Hg 0.745 0.745 0.239

***

No. 4
Computed, not measured: FeAgHg2 at its PBEsol-relaxed geometry at the SCAN level of DFT.

Results
Magnetization   2.9 μB/f.u.
Formation enthalpy at 0 K   304 meV per atom
E above lowest polymorph   32 meV per atom
Energy   -46.154 eV/atom
D(E_F)   0.71 states/eV per atom

abc: 4.613 4.613 4.613
angles: 60.00 60.00 60.00
Sites, in units of the cell vectors:
1 Fe 0.000 0.000 0.000
2 Ag 0.500 0.500 0.500
3 Hg 0.250 0.250 0.250
4 Hg 0.750 0.750 0.750

***

No. 5
Computed, not measured: FeAg2Hg at its PBEsol-relaxed geometry at the SCAN level of DFT.

Results
Magnetization   3.0 μB/f.u.
Formation enthalpy at 0 K   235 meV per atom
Energy   -37.023 eV/atom
D(E_F)   0.51 states/eV per atom

abc: 2.851 2.851 8.090
angles: 90.00 90.00 90.00
Sites, in units of the cell vectors:
1 Fe 0.000 0.000 0.000
2 Ag 0.500 0.500 0.224
3 Ag 0.500 0.500 0.776
4 Hg 0.000 0.000 0.500

***

No. 6
Computed, not measured: FeAgHg2 at its PBEsol-relaxed geometry at the SCAN level of DFT.

Results
Magnetization   2.8 μB/f.u.
Formation enthalpy at 0 K   272 meV per atom
E above lowest polymorph   0 meV per atom
Energy   -46.185 eV/atom
D(E_F)   0.55 states/eV per atom

abc: 5.511 5.511 4.887
angles: 111.52 111.52 30.62
Sites, in units of the cell vectors:
1 Fe 0.000 0.000 0.000
2 Ag 0.275 0.275 0.654
3 Hg 0.509 0.509 0.495
4 Hg 0.736 0.736 0.117

***

No. 7
Computed, not measured: Fe2AgI at its PBEsol-relaxed geometry at the SCAN level of DFT.

Results
Magnetization   5.3 μB/f.u.
Energy   -25.149 eV/atom
Uncorrected formation energy   0.943 eV/atom
D(E_F)   1.20 states/eV per atom

abc: 4.465 4.465 4.465
angles: 60.00 60.00 60.00
Sites, in units of the cell vectors:
1 Fe 0.250 0.250 0.250
2 Fe 0.750 0.750 0.750
3 Ag 0.000 0.000 0.000
4 I 0.500 0.500 0.500

***

No. 8
Computed, not measured: FeAgIN2 at its PBEsol-relaxed geometry at the SCAN level of DFT.

Results
Magnetization   6.7 μB/f.u.
E above lowest polymorph   688 meV per atom
Energy   -19.174 eV/atom
Uncorrected formation energy   1.790 eV/atom
D(E_F)   0.56 states/eV per atom

abc: 3.935 3.935 6.445
angles: 90.00 90.00 90.00
Sites, in units of the cell vectors:
1 Fe 0.000 0.000 0.000
2 Ag 0.500 0.500 0.500
3 I 0.500 0.500 0.000
4 N 0.000 0.500 0.500
5 N 0.500 0.000 0.500

***

What is the energy in the third record? -46.157 eV/atom

***

D(E_F) of number 7 (Fe2AgI)? 1.20 states/eV per atom